The following is a GGA-PBE calculation of TePC2 after structural relaxation, from Alexandria.

a = 4.1335 Å, b = 4.1335 Å, c = 4.1335 Å
α = 60.00°, β = 60.00°, γ = 60.00°
Last column: nearest neighbours and their distance in Å.
Fractional coordinates of all 4 atoms:
1 P 0.0000 0.0000 0.0000  8 C 2.53
2 C 0.2500 0.2500 0.2500  4 Te 2.53, 4 P 2.53
3 C 0.7500 0.7500 0.7500  4 P 2.53, 4 Te 2.53
4 Te 0.5000 0.5000 0.5000  8 C 2.53

Summary:
theoretical density	6.07	Mg/m³
formation energy from raw total energies	2492	meV/atom
relative energy among the computed polymorphs	1.320	eV per atom
Fermi-level density of states	2.06	states/eV/f.u.

***

The following is a GGA-PBE calculation of Te2PC after structural relaxation, from Alexandria.

a = 6.5546 Å, b = 6.5546 Å, c = 6.2152 Å
α = 58.18°, β = 58.18°, γ = 90.00°
Last column: nearest neighbours and their distance in Å.
Fractional coordinates of all 8 atoms:
1 P 0.0000 0.0000 0.0000  4 Te 2.78
2 P 0.7500 0.2500 0.5000  4 Te 2.78
3 C 0.5000 0.5000 0.0000  4 Te 2.33
4 C 0.2500 0.7500 0.5000  4 Te 2.33
5 Te 0.5717 0.1250 0.2500  2 C 2.33
6 Te 0.1783 0.6250 0.2500  2 C 2.33
7 Te 0.3750 0.4283 0.7500  2 C 2.33
8 Te 0.8750 0.8217 0.7500  2 C 2.33

Summary:
theoretical density	5.57	Mg/m³
formation energy from raw total energies	1166	meV/atom
relative energy among the computed polymorphs	0.000	eV per atom
Fermi-level density of states	2.03	states/eV/f.u.

***

The following is a GGA-PBE calculation of Te2PC after structural relaxation, from Alexandria.

a = 8.8758 Å, b = 8.8758 Å, c = 8.8758 Å
α = 21.63°, β = 21.63°, γ = 21.63°
Last column: nearest neighbours and their distance in Å.
Fractional coordinates of all 4 atoms:
1 P 0.0000 0.0000 0.0000  2 Te 2.76
2 C 0.5000 0.5000 0.5000  6 Te 2.49
3 Te 0.8940 0.8940 0.8940  3 C 2.49, 1 P 2.76
4 Te 0.1060 0.1060 0.1060  3 C 2.49, 1 P 2.76

Summary:
theoretical density	5.95	Mg/m³
formation energy from raw total energies	1392	meV/atom
relative energy among the computed polymorphs	0.226	eV per atom
Fermi-level density of states	2.06	states/eV/f.u.